VASP calculation (GGA-PBE) on K8Rb6Pt after structural relaxation.

a = 10.7150 Å, b = 10.7150 Å, c = 10.7150 Å
α = 72.77°, β = 72.77°, γ = 72.77°
Last column: nearest neighbours and their distance in Å.
Fractional positions:
K 0.3005 0.0295 0.9060  1 Pt 3.16
K 0.9060 0.3005 0.0295  1 Pt 3.16
K 0.7538 0.7538 0.7538  6 K 4.69-4.96, 6 Rb 4.78-4.88
K 0.2462 0.2462 0.2462  6 K 4.69-4.96, 6 Rb 4.78-4.88
K 0.6995 0.9705 0.0940  1 Pt 3.16
K 0.9705 0.0940 0.6995  1 Pt 3.16
K 0.0295 0.9060 0.3005  1 Pt 3.16
K 0.0940 0.6995 0.9705  1 Pt 3.16
Rb 0.4588 0.6149 0.1731  7 K 4.66-5.08, 5 Rb 4.77-4.93
Rb 0.8269 0.5412 0.3851  7 K 4.66-5.08, 5 Rb 4.77-4.93
Rb 0.3851 0.8269 0.5412  7 K 4.66-5.08, 5 Rb 4.77-4.93
Rb 0.1731 0.4588 0.6149  7 K 4.66-5.08, 5 Rb 4.77-4.93
Rb 0.6149 0.1731 0.4588  7 K 4.66-5.08, 5 Rb 4.77-4.93
Rb 0.5412 0.3851 0.8269  7 K 4.66-5.08, 5 Rb 4.77-4.93
Pt 0.0000 0.0000 0.0000  6 K 3.16

Calculated values
The calculation puts the formation energy at 9.1 meV/atom. The symmetry is R-3. The value obtained for the density is 1.55 Mg/m³. The value obtained for the uncorrected energy is -20.49 eV per formula unit.